Density functional theory data (PBE) for a geometry-optimized LaPrGe structure.

Output
Space-group type: F-43m
Mass density, g/cm³: 6.09
Formation energy from the elements, eV per atom: -0.55
Calculated total energy, eV/cell: -15.960
DOS at the Fermi energy, states/eV per cell: 3.96

abc: 5.1402 5.1402 5.1402
angles: 60.00 60.00 60.00
Fractional positions:
Pr 0.0000 0.0000 0.0000
Ge 0.2500 0.2500 0.2500
La 0.5000 0.5000 0.5000